No. 1
GaTcPO | GGA-PBE | relaxed

Summary:
- E: -5.986 eV per atom
- Energy above the lowest structure with this stoichiometry: 561 meV/atom
- Volume: 112 Å³/cell

a = 3.3619 Å, b = 3.3619 Å, c = 9.9512 Å
α = 90.00°, β = 90.00°, γ = 90.00°
Space group P4/nmm (No. 129, origin choice 2)
Symmetry-distinct sites (fractional):
Ga 0.2500 0.7500 0.0000
Tc 0.2500 0.2500 0.3716
P 0.2500 0.2500 0.7514
O 0.2500 0.7500 0.5000


No. 2
Cu2PbSe2 | GGA-PBE | relaxed

Summary:
- E: -3.847 eV per atom
- Volume: 107 Å³/cell

a = 4.1813 Å, b = 4.1813 Å, c = 7.0968 Å
α = 90.00°, β = 90.00°, γ = 120.00°
Space group P-3m1 (No. 164)
Symmetry-distinct sites (fractional):
Cu 0.3333 0.6667 0.1257
Pb 0.0000 0.0000 0.5000
Se 0.3333 0.6667 0.7729


No. 3
KW2S2Cl6 | GGA-PBE | relaxed

Summary:
- E: -5.085 eV per atom
- Volume: 551 Å³/cell

a = 12.4334 Å, b = 4.5882 Å, c = 10.1450 Å
α = 90.00°, β = 107.89°, γ = 90.00°
Space group C2/m (No. 12)
Symmetry-distinct sites (fractional):
K 0.0000 0.0000 0.0000
W 0.0039 0.5000 0.6468
S 0.0036 0.0000 0.6489
Cl 0.1309 0.5000 0.2246
Cl 0.1458 0.5000 0.8707
Cl 0.1624 0.5000 0.5556